Entry 1:
AgTe2Ir | PBE | optimized geometry

The space group is Pm (No. 6) and the conventional cell measures 4.656, 4.087 and 5.734 Å, with angles of 90.00, 106.56 and 90.00 degrees. Symmetry generates all atoms from Ag at (0.000, 0.000, 0.000), Te at (0.361, 0.000, 0.674), Te at (0.685, 0.500, 0.198) and Ir at (0.252, 0.500, 0.386).

As for the density of states at the Fermi level: 0.3828 states/eV/atom. The formation energy without anion corrections is 0.082 eV/atom. As for the uncorrected energy: -4.42 eV per atom.

***

Entry 2:
AgTeIr2 | PBE | optimized geometry

The space group is C2/m (No. 12) and the conventional cell measures 9.128, 3.053 and 5.058 Å, with angles of 90.00, 100.67 and 90.00 degrees. Symmetry generates all atoms from Ag at (0.000, 0.000, 0.000), Te at (0.000, 0.500, 0.500) and Ir at (0.247, 0.000, 0.744).

As for the density of states at the Fermi level: 0.6853 states/eV/atom. The formation energy without anion corrections is 0.475 eV/atom. As for the uncorrected energy: -5.45 eV per atom.

***

Entry 3:
AgTeIr2 | PBE | optimized geometry

The space group is Cm (No. 8) and the conventional cell measures 10.440, 3.015 and 5.311 Å, with angles of 90.00, 119.30 and 90.00 degrees. Symmetry generates all atoms from Ag at (0.000, 0.000, 0.000), Te at (0.201, 0.000, 0.780), Ir at (0.250, 0.500, 0.419) and Ir at (0.464, 0.000, 0.431).

As for the density of states at the Fermi level: 0.8409 states/eV/atom. The formation energy without anion corrections is 0.448 eV/atom. As for the uncorrected energy: -5.48 eV per atom.

***

Entry 4:
AgTeIr2 | PBE | optimized geometry

The space group is Cmmm (No. 65) and the conventional cell measures 5.984, 7.363 and 3.140 Å, with angles of 90.00, 90.00 and 90.00 degrees. Symmetry generates all atoms from Ag at (0.000, 0.000, 0.000), Te at (0.000, 0.500, 0.000) and Ir at (0.250, 0.250, 0.500).

As for the density of states at the Fermi level: 1.5378 states/eV/atom. The formation energy without anion corrections is 0.571 eV/atom. As for the uncorrected energy: -5.36 eV per atom.

***

Entry 5:
AgTe2Ir | PBE | optimized geometry

The space group is F-43m (No. 216) and the conventional cell measures 7.006, 7.006 and 7.006 Å, with angles of 90.00, 90.00 and 90.00 degrees. Symmetry generates all atoms from Ag at (0.000, 0.000, 0.000), Te at (0.000, 0.000, 0.500), Te at (0.250, 0.250, 0.250) and Ir at (0.250, 0.250, 0.750).

As for the density of states at the Fermi level: 0.4354 states/eV/atom. The formation energy without anion corrections is 0.731 eV/atom. As for the uncorrected energy: -3.77 eV per atom.

***

Entry 6:
AgTe2Ir | PBE | optimized geometry

The space group is P4mm (No. 99) and the conventional cell measures 3.279, 3.279 and 8.798 Å, with angles of 90.00, 90.00 and 90.00 degrees. Symmetry generates all atoms from Ag at (0.000, 0.000, 0.000), Te at (0.000, 0.000, 0.368), Te at (0.500, 0.500, 0.756) and Ir at (0.500, 0.500, 0.219).

As for the density of states at the Fermi level: 0.6137 states/eV/atom. The formation energy without anion corrections is 0.189 eV/atom. As for the uncorrected energy: -4.31 eV per atom.

***

Entry 7:
AgTe3Ir | PBE | optimized geometry

The space group is Pm-3m (No. 221) and the conventional cell measures 5.289, 5.289 and 5.289 Å, with angles of 90.00, 90.00 and 90.00 degrees. Symmetry generates all atoms from Ag at (0.000, 0.000, 0.000), Te at (0.000, 0.500, 0.500) and Ir at (0.500, 0.500, 0.500).

As for the density of states at the Fermi level: 1.5550 states/eV/atom. The formation energy without anion corrections is 0.608 eV/atom. As for the uncorrected energy: -3.62 eV per atom.

***

Entry 8:
Ag2TeIrW | PBE | optimized geometry

The space group is P4/mmm (No. 123) and the conventional cell measures 5.073, 5.073 and 5.006 Å, with angles of 90.00, 90.00 and 90.00 degrees. Symmetry generates all atoms from Ag at (0.000, 0.500, 0.000), Te at (0.000, 0.000, 0.500), Ir at (0.500, 0.500, 0.500) and W at (0.000, 0.000, 0.000).

As for the density of states at the Fermi level: 1.4084 states/eV/atom. The formation energy without anion corrections is 1.951 eV/atom. As for the uncorrected energy: -4.18 eV per atom.